Material: Pm2CdRu2
Method: DFT, GGA-PBE
State: relaxed

Properties
excess energy over the best structure of this formula in the dataset = 0.017 eV/atom
VASP energy = -119.6 eV per cell
magnetization = 0.0 μB per cell

a b c (Å): 10.091 5.560 8.437
angles (deg): 90.00 106.98 90.00
Space group C2/c (No. 15)
Symmetry-distinct sites (fractional):
Pm 0.146 0.161 0.146
Cd 0.000 0.344 0.750
Ru 0.143 0.342 0.509